# 1
Compound: Li4Ti7O16
Source: Alexandria via LeMat-Bulk
Functional: PBE-GGA
Structure: optimized geometry

Geometry as CIF:
```
data_Li4Ti7O16
_chemical_formula_sum 'Li8 Ti14 O32'
_cell_length_a 10.058
_cell_length_b 5.930
_cell_length_c 9.714
_cell_angle_alpha 90.00
_cell_angle_beta 90.27
_cell_angle_gamma 90.00
_space_group_name_H-M_alt 'C 1 m 1'
_space_group_IT_number 8
_space_group_name_Hall 'C -2y'
loop_
_atom_site_label
_atom_site_type_symbol
_atom_site_fract_x
_atom_site_fract_y
_atom_site_fract_z
_atom_site_occupancy
Li1 Li 0.000 0.000 0.000 1
Li2 Li 0.021 0.000 0.674 1
Li3 Li 0.250 0.247 0.564 1
Ti1 Ti 0.017 0.500 0.667 1
Ti2 Ti 0.037 0.242 0.392 1
Ti3 Ti 0.267 0.256 0.881 1
Ti4 Ti 0.268 0.500 0.168 1
Ti5 Ti 0.308 0.000 0.158 1
O1 O 0.138 0.000 0.476 1
O2 O 0.139 0.500 0.486 1
O3 O 0.144 0.269 0.740 1
O4 O 0.179 0.500 0.990 1
O5 O 0.188 0.000 0.985 1
O6 O 0.188 0.246 0.247 1
O7 O 0.378 0.000 0.802 1
O8 O 0.380 0.256 0.069 1
O9 O 0.381 0.500 0.825 1
O10 O 0.435 0.500 0.307 1
O11 O 0.437 0.236 0.558 1
O12 O 0.443 0.000 0.301 1
```

Results
Formation energy (no corrections) (meV/atom): -2825
E_tot (eV per atom): -8.094

# 2
Compound: Ac2SnIr2
Source: Alexandria via LeMat-Bulk
Functional: PBE-GGA
Structure: optimized geometry

Geometry as CIF:
```
data_Ac2SnIr2
_chemical_formula_sum 'Ac8 Sn4 Ir8'
_cell_length_a 10.469
_cell_length_b 6.015
_cell_length_c 8.399
_cell_angle_alpha 90.00
_cell_angle_beta 103.66
_cell_angle_gamma 90.00
_space_group_name_H-M_alt 'C 1 2/c 1'
_space_group_IT_number 15
_space_group_name_Hall '-C 2yc'
loop_
_atom_site_label
_atom_site_type_symbol
_atom_site_fract_x
_atom_site_fract_y
_atom_site_fract_z
_atom_site_occupancy
Ac1 Ac 0.146 0.151 0.148 1
Sn1 Sn 0.000 0.360 0.750 1
Ir1 Ir 0.141 0.363 0.496 1
```

Results
E_tot (eV per atom): -6.685
DFT formation energy (eV/atom): -0.697